1.
Material: LaEu3
Method: DFT, PBE-GGA
State: optimized geometry

## Properties
The calculation puts the energy relative to the elements at 0.074 eV per atom.

Lattice parameters (Å, degrees): 4.195 6.177 7.287 115.08 106.73 90.00
Last column: magnetic moment on the atom in μB.
Fractional positions:
Eu 0.500 0.417 0.000  6.95
Eu 0.749 0.166 0.498  -6.92
Eu 0.251 0.668 0.502  -6.92
La 0.000 0.916 0.000  0.06

***

2.
Material: Pm2Dy7Er3
Method: DFT, PBE-GGA
State: optimized geometry

## Properties
The calculation puts the energy relative to the elements at 0.075 eV per atom. As for the energy relative to the lowest polymorph listed for this composition: 0.0000 eV/atom.

Lattice parameters (Å, degrees): 3.510 6.316 17.843 104.41 90.00 90.00
Fractional positions:
Dy 0.500 0.242 0.498
Dy 0.500 0.758 0.502
Dy 0.500 0.940 0.167
Dy 0.500 0.060 0.833
Dy 0.000 0.000 0.000
Dy 0.000 0.439 0.164
Dy 0.000 0.561 0.836
Pm 0.500 0.612 0.673
Pm 0.500 0.388 0.327
Er 0.000 0.109 0.658
Er 0.500 0.500 0.000
Er 0.000 0.891 0.342

***

3.
Material: Na2PtIO4
Method: DFT, PBE-GGA
State: optimized geometry

## Properties
The value obtained for the energy relative to the elements, uncorrected is -5.86 eV per formula unit.

Lattice parameters (Å, degrees): 5.927 6.211 5.063 120.52 123.59 86.61
Last column: magnetic moment on the atom in μB.
Fractional positions:
Pt 0.007 0.516 0.989  0.18
Na 0.181 0.187 0.413  0.00
Na 0.453 0.964 0.959  0.00
O 0.358 0.717 0.135  0.00
O 0.796 0.792 0.943  0.04
O 0.677 0.336 0.906  0.03
O 0.216 0.271 0.034  0.21
I 0.699 0.604 0.395  0.11

***

4.
Material: BaSn4Se8
Method: DFT, PBE-GGA
State: optimized geometry

## Properties
The value obtained for the energy relative to the elements, uncorrected is -7.71 eV per formula unit.

Lattice parameters (Å, degrees): 7.945 7.945 9.326 64.79 64.79 60.00
Fractional positions:
Se 0.268 0.268 0.195
Se 0.274 0.764 0.199
Se 0.236 0.236 0.801
Se 0.726 0.236 0.801
Se 0.764 0.764 0.199
Se 0.732 0.732 0.805
Se 0.764 0.274 0.199
Se 0.236 0.726 0.801
Sn 0.500 0.500 0.000
Sn 0.500 0.000 0.000
Sn 0.000 0.000 0.000
Sn 0.000 0.500 0.000
Ba 0.500 0.500 0.500

***

5.
Material: Sm2CrSi3Pt12
Method: DFT, PBE-GGA
State: optimized geometry

## Properties
The value obtained for the energy relative to the elements, uncorrected is -8.15 eV per formula unit.

Lattice parameters (Å, degrees): 7.666 7.666 7.666 64.81 64.81 64.81
Last column: magnetic moment on the atom in μB.
Fractional positions:
Pt 0.898 0.355 0.355  0.01
Pt 0.869 0.376 0.869  0.01
Pt 0.102 0.645 0.645  0.01
Pt 0.355 0.355 0.898  0.01
Pt 0.624 0.131 0.131  0.01
Pt 0.376 0.869 0.869  0.01
Pt 0.355 0.898 0.355  0.01
Pt 0.645 0.102 0.645  0.01
Pt 0.645 0.645 0.102  0.01
Pt 0.131 0.131 0.624  0.01
Pt 0.869 0.869 0.376  0.01
Pt 0.131 0.624 0.131  0.01
Si 0.000 0.000 0.500  0.00
Si 0.000 0.500 0.000  0.00
Si 0.500 0.000 0.000  0.00
Sm 0.610 0.610 0.610  0.03
Sm 0.390 0.390 0.390  0.03
Cr 0.000 0.000 0.000  2.92

***

6.
Material: NdThPa2P4
Method: DFT, PBE-GGA
State: optimized geometry

## Properties
The calculation puts the energy relative to the elements at -1.426 eV per atom.

Lattice parameters (Å, degrees): 4.058 7.024 7.027 70.49 90.00 90.00
Fractional positions:
Nd 0.500 0.500 0.000
P 0.500 0.764 0.245
P 0.000 0.234 0.256
P 0.000 0.766 0.744
P 0.500 0.236 0.755
Th 0.000 0.500 0.500
Pa 0.500 0.000 0.500
Pa 0.000 0.000 0.000

***

7.
Material: Rb2ScTeS4
Method: DFT, PBE-GGA
State: optimized geometry

## Properties
The value obtained for the energy relative to the elements, uncorrected is -7.66 eV per formula unit.

Lattice parameters (Å, degrees): 6.920 6.920 6.920 105.95 111.26 111.26
Last column: magnetic moment on the atom in μB.
Fractional positions:
Rb 0.500 0.750 0.250  0.00
Rb 0.000 0.000 0.000  0.01
S 0.134 0.260 0.700  0.07
S 0.866 0.567 0.127  0.07
S 0.560 0.300 0.433  0.07
S 0.440 0.873 0.740  0.07
Te 0.000 0.500 0.500  0.27
Sc 0.500 0.250 0.750  0.03

***

8.
Material: Ac2Tl3CrS6
Method: DFT, PBE-GGA
State: optimized geometry

## Properties
The value obtained for the energy relative to the elements, uncorrected is -13.23 eV per formula unit.

Lattice parameters (Å, degrees): 7.194 7.194 7.770 98.77 98.77 119.52
Last column: magnetic moment on the atom in μB.
Fractional positions:
S 0.781 0.781 0.208  -0.03
S 0.935 0.650 0.807  -0.02
S 0.650 0.935 0.807  -0.02
S 0.350 0.065 0.193  -0.02
S 0.219 0.219 0.792  -0.03
S 0.065 0.350 0.193  -0.02
Ac 0.667 0.333 0.000  0.01
Ac 0.333 0.667 0.000  0.01
Tl 0.500 0.500 0.500  0.00
Tl 0.169 0.831 0.500  0.00
Tl 0.831 0.169 0.500  0.00
Cr 0.000 0.000 0.000  2.92

***

9.
Material: TmScPt
Method: DFT, PBE-GGA
State: optimized geometry

## Properties
The calculation puts the energy relative to the elements at -0.884 eV per atom. As for the energy relative to the lowest polymorph listed for this composition: 0.1095 eV/atom.

Lattice parameters (Å, degrees): 4.685 4.685 4.685 60.00 60.00 60.00
Fractional positions:
Tm 0.000 0.000 0.000
Pt 0.250 0.250 0.250
Sc 0.500 0.500 0.500

***

10.
Material: TbTc2N4
Method: DFT, PBE-GGA
State: optimized geometry

## Properties
The value obtained for the energy relative to the elements, uncorrected is -2.94 eV per formula unit.

Lattice parameters (Å, degrees): 3.210 5.139 9.997 90.00 90.00 108.20
Fractional positions:
N 0.239 0.478 0.894
N 0.935 0.870 0.750
N 0.065 0.130 0.250
N 0.500 0.000 0.500
N 0.500 0.000 0.000
N 0.761 0.522 0.106
N 0.761 0.522 0.394
N 0.239 0.478 0.606
Tc 0.886 0.772 0.564
Tc 0.114 0.228 0.064
Tc 0.114 0.228 0.436
Tc 0.886 0.772 0.936
Tb 0.628 0.256 0.750
Tb 0.372 0.744 0.250

***

11.
Material: CsDyTe
Method: DFT, PBE-GGA
State: optimized geometry

## Properties
The value obtained for the energy relative to the elements, uncorrected is -2.09 eV per formula unit.

Lattice parameters (Å, degrees): 4.969 4.969 14.649 80.24 80.24 60.00
Last column: magnetic moment on the atom in μB.
Fractional positions:
Cs 0.111 0.111 0.668  0.01
Cs 0.889 0.889 0.332  0.01
Dy 0.309 0.309 0.073  0.60
Dy 0.691 0.691 0.927  0.60
Te 0.382 0.382 0.855  -0.02
Te 0.618 0.618 0.145  -0.02

***

12.
Material: Zr5HgC
Method: DFT, PBE-GGA
State: optimized geometry

## Properties
The calculation puts the energy relative to the elements at -0.158 eV per atom.

Lattice parameters (Å, degrees): 6.042 6.042 9.714 72.12 72.12 61.31
Fractional positions:
Zr 0.428 0.813 0.961
Zr 0.030 0.970 0.750
Zr 0.015 0.381 0.874
Zr 0.619 0.985 0.626
Zr 0.813 0.428 0.461
Zr 0.572 0.187 0.039
Zr 0.381 0.015 0.374
Zr 0.970 0.030 0.250
Zr 0.187 0.572 0.539
Zr 0.985 0.619 0.126
Hg 0.490 0.510 0.250
Hg 0.510 0.490 0.750
C 0.000 0.000 0.000
C 0.000 0.000 0.500

***

no.,ρ (g cm⁻³)
1,6.091
2,8.362
3,5.639
4,4.654
5,13.102
6,8.464
7,3.079
8,6.530
9,9.342
10,8.712
11,4.574
12,7.644